DFT (PBE-GGA) results for crystalline GdMg2Sb at its relaxed geometry.

Geometry as CIF:
```
data_GdMg2Sb
_cell_length_a 4.920
_cell_length_b 4.494
_cell_length_c 4.494
_cell_angle_alpha 90.00
_cell_angle_beta 90.00
_cell_angle_gamma 90.00
_symmetry_space_group_name_H-M 'P 1'
_symmetry_Int_Tables_number 1
loop_
_symmetry_equiv_pos_as_xyz
'x,y,z'
loop_
_atom_site_label
_atom_site_fract_x
_atom_site_fract_y
_atom_site_fract_z
Sb1 0.500 0.000 0.000
Mg1 0.000 0.000 0.500
Mg2 0.000 0.500 0.000
Gd1 0.500 0.500 0.500
```

Output
The calculation puts the total energy at -5.8238 eV per atom. Its symmetry is P4/mmm. Its uncorrected formation energy is -1.90 eV/f.u. Its density of states at the Fermi level is 2.37 states/eV/cell. As for the crystal system: tetragonal.